Record 1
Entry from the Alexandria database: an optimized crystal structure of RbNa2TlGe (PBE-GGA).

Unit cell a=5.7940 b=5.7940 c=5.6806 alpha=90.00 beta=90.00 gamma=90.00
With the nearest neighbours (Å) after each atom.
Atoms (fractional coordinates):
Rb: 0.0000 0.0000 0.0000  8 Na 4.06, 4 Tl 4.10
Na: 0.0000 0.5000 0.5000  2 Ge 2.90
Na: 0.5000 0.0000 0.5000  2 Ge 2.90
Tl: 0.5000 0.5000 0.0000  2 Ge 2.84
Ge: 0.5000 0.5000 0.5000  2 Tl 2.84, 4 Na 2.90

Results
ρ: 3.6 Mg/m³
M_tot: 0.00 μB/cell
calculated total energy: -2.13 eV/atom
formation enthalpy at 0 K: -0.010 eV/atom
SG: P4/mmm, No. 123

---

Record 2
Entry from the Alexandria database: an optimized crystal structure of AgPb4Se5 (PBE-GGA).

Unit cell a=15.4333 b=15.4333 c=15.4333 alpha=163.95 beta=163.95 gamma=22.78
With the nearest neighbours (Å) after each atom.
Atoms (fractional coordinates):
Ag: 0.0000 0.0000 0.0000  6 Se 2.87-3.05
Pb: 0.1972 0.1972 0.0000  6 Se 3.05-3.10
Pb: 0.4044 0.4044 0.0000  6 Se 2.89-3.17
Pb: 0.5956 0.5956 0.0000  6 Se 2.89-3.17
Pb: 0.8028 0.8028 0.0000  6 Se 3.05-3.10
Se: 0.0947 0.0947 0.0000  1 Ag 2.87, 5 Pb 3.05-3.10
Se: 0.2997 0.2997 0.0000  6 Pb 3.05-3.17
Se: 0.5000 0.5000 0.0000  2 Pb 2.89, 4 Ag 3.05
Se: 0.7003 0.7003 0.0000  6 Pb 3.05-3.17
Se: 0.9053 0.9053 0.0000  1 Ag 2.87, 5 Pb 3.05-3.10

Results
ρ: 7.9 Mg/m³
E_form (uncorrected): -0.407 eV per atom
M_tot: 0.00 μB/cell
calculated total energy: -3.92 eV/atom
SG: I4/mmm, No. 139

---

Record 3
Entry from the Alexandria database: an optimized crystal structure of Sr2Mg3Ag2 (PBE-GGA).

Unit cell a=11.4584 b=4.6436 c=8.1158 alpha=90.00 beta=115.92 gamma=90.00
With the nearest neighbours (Å) after each atom.
Atoms (fractional coordinates):
Sr: 0.1395 0.0000 0.2753  4 Ag 3.25-3.51, 3 Mg 3.61-3.62
Sr: 0.3605 0.5000 0.7247  4 Ag 3.25-3.51, 3 Mg 3.61-3.62
Sr: 0.6395 0.5000 0.2753  4 Ag 3.25-3.51, 3 Mg 3.61-3.62
Sr: 0.8605 0.0000 0.7247  4 Ag 3.25-3.51, 3 Mg 3.61-3.62
Mg: 0.0000 0.5000 0.5000  4 Ag 2.90, 2 Mg 3.17
Mg: 0.1394 0.5000 0.9343  3 Ag 2.91-2.96, 3 Mg 3.17-3.25
Mg: 0.3606 0.0000 0.0657  3 Ag 2.91-2.96, 3 Mg 3.17-3.25
Mg: 0.5000 0.0000 0.5000  4 Ag 2.90, 2 Mg 3.17
Mg: 0.6394 0.0000 0.9343  3 Ag 2.91-2.96, 3 Mg 3.17-3.25
Mg: 0.8606 0.5000 0.0657  3 Ag 2.91-2.96, 3 Mg 3.17-3.25
Ag: 0.1387 0.0000 0.7074  5 Mg 2.90-2.96
Ag: 0.3613 0.5000 0.2926  5 Mg 2.90-2.96
Ag: 0.6387 0.5000 0.7074  5 Mg 2.90-2.96
Ag: 0.8613 0.0000 0.2926  5 Mg 2.90-2.96

Results
ρ: 4.0 Mg/m³
M_tot: 0.00 μB/cell
calculated total energy: -2.21 eV/atom
formation enthalpy at 0 K: -0.231 eV/atom
SG: C2/m, No. 12

---

Record 4
Entry from the Alexandria database: an optimized crystal structure of RbLiZnPbSe (PBE-GGA).

Unit cell a=5.2354 b=4.1924 c=6.7789 alpha=90.00 beta=101.68 gamma=90.00
With the nearest neighbours (Å) after each atom.
Atoms (fractional coordinates):
Rb: 0.0000 0.0000 0.0000  1 Li 3.37, 4 Se 3.55-3.56
Li: 0.4668 0.0000 0.6248  2 Se 2.50
Zn: 0.0903 0.5000 0.4901  1 Se 2.64, 2 Pb 2.83-2.92, 2 Li 2.90
Pb: 0.5534 0.5000 0.3122  2 Zn 2.83-2.92, 2 Li 3.08
Se: 0.4529 0.5000 0.8236  2 Li 2.50, 1 Zn 2.64

Results
ρ: 5.1 Mg/m³
E_form (uncorrected): -0.430 eV per atom
M_tot: 0.00 μB/cell
calculated total energy: -2.70 eV/atom
energy above the lowest structure with this stoichiometry: 140 meV/atom
SG: Pm, No. 6

---

Record 5
Entry from the Alexandria database: an optimized crystal structure of Cs4P (PBE-GGA).

Unit cell a=7.2454 b=7.2454 c=7.2454 alpha=90.00 beta=90.00 gamma=90.00
With the nearest neighbours (Å) after each atom.
Atoms (fractional coordinates):
Cs: 0.0000 0.0000 0.0000  12 Cs 5.12
Cs: 0.0000 0.5000 0.5000  2 P 3.62
Cs: 0.5000 0.0000 0.5000  2 P 3.62
Cs: 0.5000 0.5000 0.0000  2 P 3.62
P: 0.5000 0.5000 0.5000  6 Cs 3.62

Results
ρ: 2.5 Mg/m³
M_tot: 0.84 μB/cell
calculated total energy: -1.76 eV/atom
formation enthalpy at 0 K: 0.010 eV/atom
SG: Pm-3m, No. 221

---

Record 6
Entry from the Alexandria database: an optimized crystal structure of BaMgZn4 (PBE-GGA).

Unit cell a=9.3194 b=9.3194 c=9.3194 alpha=113.47 beta=113.47 gamma=101.75
With the nearest neighbours (Å) after each atom.
Atoms (fractional coordinates):
Ba: 0.1875 0.1875 0.0000  12 Zn 3.50-3.92
Ba: 0.2500 0.7500 0.5000  16 Zn 3.81, 4 Mg 4.20
Ba: 0.7500 0.2500 0.5000  16 Zn 3.81, 4 Mg 4.20
Ba: 0.8125 0.8125 0.0000  12 Zn 3.50-3.92
Mg: 0.2937 0.5000 0.7937  6 Zn 2.77-2.84, 2 Mg 2.98
Mg: 0.5000 0.2937 0.7937  6 Zn 2.77-2.84, 2 Mg 2.98
Mg: 0.5000 0.7063 0.2063  6 Zn 2.77-2.84, 2 Mg 2.98
Mg: 0.7063 0.5000 0.2063  6 Zn 2.77-2.84, 2 Mg 2.98
Zn: 0.1169 0.2943 0.4113  4 Zn 2.39-2.60
Zn: 0.1169 0.7057 0.8226  4 Zn 2.39-2.60
Zn: 0.1315 0.1315 0.5838  3 Zn 2.43-2.60
Zn: 0.1315 0.5477 0.0000  3 Zn 2.43-2.60
Zn: 0.2943 0.1169 0.4113  4 Zn 2.39-2.60
Zn: 0.2943 0.8831 0.1774  4 Zn 2.39-2.60
Zn: 0.4523 0.4523 0.5838  3 Zn 2.43-2.60
Zn: 0.4523 0.8685 0.0000  3 Zn 2.43-2.60
Zn: 0.5477 0.1315 0.0000  3 Zn 2.43-2.60
Zn: 0.5477 0.5477 0.4162  3 Zn 2.43-2.60
Zn: 0.7057 0.1169 0.8226  4 Zn 2.39-2.60
Zn: 0.7057 0.8831 0.5887  4 Zn 2.39-2.60
Zn: 0.8685 0.4523 0.0000  3 Zn 2.43-2.60
Zn: 0.8685 0.8685 0.4162  3 Zn 2.43-2.60
Zn: 0.8831 0.2943 0.1774  4 Zn 2.39-2.60
Zn: 0.8831 0.7057 0.5887  4 Zn 2.39-2.60

Results
ρ: 4.6 Mg/m³
M_tot: 0.00 μB/cell
calculated total energy: -1.51 eV/atom
energy above the lowest structure with this stoichiometry: 4 meV/atom
formation enthalpy at 0 K: -0.070 eV/atom
SG: I4/mmm, No. 139

---

Record 7
Entry from the Alexandria database: an optimized crystal structure of CaMoPb2I (PBE-GGA).

Unit cell a=5.9983 b=5.9983 c=5.3239 alpha=90.00 beta=90.00 gamma=90.00
With the nearest neighbours (Å) after each atom.
Atoms (fractional coordinates):
Ca: 0.0000 0.0000 0.0000  2 Mo 2.66
Mo: 0.0000 0.0000 0.5000  2 Ca 2.66
Pb: 0.0000 0.5000 0.0000  2 Ca 3.00
Pb: 0.5000 0.0000 0.0000  2 Ca 3.00
I: 0.5000 0.5000 0.5000  8 Pb 4.01, 4 Mo 4.24

Results
ρ: 5.9 Mg/m³
E_form (uncorrected): 1.243 eV per atom
M_tot: 3.21 μB/cell
calculated total energy: -3.12 eV/atom
SG: P4/mmm, No. 123

---

Record 8
Entry from the Alexandria database: an optimized crystal structure of Dy2Zn3Cd3 (PBE-GGA).

Unit cell a=8.4679 b=8.4679 c=8.4679 alpha=33.49 beta=33.49 gamma=33.49
With the nearest neighbours (Å) after each atom.
Atoms (fractional coordinates):
Dy: 0.0000 0.0000 0.0000  5 Zn 2.91-3.07, 3 Cd 3.04
Dy: 0.4909 0.4909 0.4909  7 Zn 2.94-3.04, 1 Cd 3.07
Zn: 0.1216 0.1216 0.1216  4 Cd 2.89-2.98, 4 Dy 2.91-2.95
Zn: 0.3680 0.3680 0.3680  4 Dy 2.94, 4 Cd 3.02-3.03
Zn: 0.8719 0.8719 0.8719  4 Cd 2.95-2.98, 4 Dy 3.04-3.07
Cd: 0.2421 0.2421 0.2421  5 Zn 2.89-3.02, 3 Cd 3.00
Cd: 0.6189 0.6189 0.6189  4 Cd 3.00-3.08, 4 Dy 3.04-3.07
Cd: 0.7476 0.7476 0.7476  7 Zn 2.98-3.03, 1 Cd 3.08

Results
ρ: 8.7 Mg/m³
M_tot: 0.00 μB/cell
calculated total energy: -2.26 eV/atom
formation enthalpy at 0 K: -0.284 eV/atom
SG: R3m, No. 160

---

Record 9
Entry from the Alexandria database: an optimized crystal structure of CaY2In (PBE-GGA).

Unit cell a=4.9629 b=4.9629 c=4.8216 alpha=90.00 beta=90.00 gamma=90.00
With the nearest neighbours (Å) after each atom.
Atoms (fractional coordinates):
Ca: 0.0000 0.0000 0.0000  8 Y 3.46, 4 In 3.51
Y: 0.0000 0.5000 0.5000  4 In 3.46, 4 Ca 3.46, 4 Y 3.51
Y: 0.5000 0.0000 0.5000  4 In 3.46, 4 Ca 3.46, 4 Y 3.51
In: 0.5000 0.5000 0.0000  8 Y 3.46, 4 Ca 3.51

Results
ρ: 4.7 Mg/m³
M_tot: 0.32 μB/cell
calculated total energy: -4.65 eV/atom
formation enthalpy at 0 K: -0.228 eV/atom
SG: P4/mmm, No. 123

---

Record 10
Entry from the Alexandria database: an optimized crystal structure of Ni13Mo3 (PBE-GGA).

Unit cell a=7.1587 b=5.1277 c=5.1277 alpha=90.33 beta=90.00 gamma=90.00
With the nearest neighbours (Å) after each atom.
Atoms (fractional coordinates):
Ni: 0.0000 0.0003 0.0003  2 Mo 2.50, 10 Ni 2.51-2.59
Ni: 0.0000 0.4959 0.9994  10 Ni 2.52-2.59, 2 Mo 2.54
Ni: 0.0000 0.4984 0.4984  10 Ni 2.53-2.57, 2 Mo 2.55
Ni: 0.0000 0.9994 0.4959  10 Ni 2.52-2.59, 2 Mo 2.54
Ni: 0.2467 0.2477 0.7466  9 Ni 2.52-2.57, 3 Mo 2.53-2.60
Ni: 0.2467 0.7466 0.2477  9 Ni 2.52-2.57, 3 Mo 2.53-2.60
Ni: 0.2477 0.2451 0.2451  1 Mo 2.45, 11 Ni 2.51-2.59
Ni: 0.5000 0.0000 0.0000  10 Ni 2.53-2.58, 2 Mo 2.54
Ni: 0.5000 0.5026 0.9921  4 Mo 2.48-2.66, 8 Ni 2.55-2.59
Ni: 0.5000 0.9921 0.5026  4 Mo 2.48-2.66, 8 Ni 2.55-2.59
Ni: 0.7523 0.2451 0.2451  1 Mo 2.45, 11 Ni 2.51-2.59
Ni: 0.7533 0.2477 0.7466  9 Ni 2.52-2.57, 3 Mo 2.53-2.60
Ni: 0.7533 0.7466 0.2477  9 Ni 2.52-2.57, 3 Mo 2.53-2.60
Mo: 0.2459 0.7541 0.7541  11 Ni 2.50-2.60, 1 Mo 2.72
Mo: 0.5000 0.4746 0.4746  10 Ni 2.45-2.66, 2 Mo 2.72
Mo: 0.7541 0.7541 0.7541  11 Ni 2.50-2.60, 1 Mo 2.72

Results
ρ: 9.3 Mg/m³
M_tot: 0.00 μB/cell
calculated total energy: -6.73 eV/atom
formation enthalpy at 0 K: -0.002 eV/atom
SG: Amm2, No. 38

---

Record 11
Entry from the Alexandria database: an optimized crystal structure of VB3Rh (PBE-GGA).

Unit cell a=3.8668 b=3.8668 c=3.8668 alpha=90.00 beta=90.00 gamma=90.00
With the nearest neighbours (Å) after each atom.
Atoms (fractional coordinates):
V: 0.0000 0.0000 0.0000  6 B 1.93
B: 0.0000 0.0000 0.5000  2 V 1.93
B: 0.0000 0.5000 0.0000  2 V 1.93
B: 0.5000 0.0000 0.0000  2 V 1.93
Rh: 0.5000 0.5000 0.5000  12 B 2.73

Results
ρ: 5.4 Mg/m³
M_tot: 0.01 μB/cell
calculated total energy: -5.97 eV/atom
formation enthalpy at 0 K: 1.331 eV/atom
SG: Pm-3m, No. 221

---

Record 12
Entry from the Alexandria database: an optimized crystal structure of CaTb3Ho3Se8 (PBE-GGA).

Unit cell a=8.1493 b=8.1493 c=8.1493 alpha=59.92 beta=59.92 gamma=59.92
With the nearest neighbours (Å) after each atom.
Atoms (fractional coordinates):
Ca: 0.0000 0.0000 0.0000  6 Se 2.93
Tb: 0.0000 0.0000 0.5000  6 Se 2.89
Tb: 0.0000 0.5000 0.0000  6 Se 2.89
Tb: 0.5000 0.0000 0.0000  6 Se 2.89
Ho: 0.0000 0.5000 0.5000  6 Se 2.87
Ho: 0.5000 0.0000 0.5000  6 Se 2.87
Ho: 0.5000 0.5000 0.0000  6 Se 2.87
Se: 0.2512 0.2512 0.2512  3 Ho 2.87, 3 Tb 2.89
Se: 0.2544 0.2544 0.7432  2 Ho 2.87, 2 Tb 2.89, 1 Ca 2.93
Se: 0.2544 0.7432 0.2544  2 Ho 2.87, 2 Tb 2.89, 1 Ca 2.93
Se: 0.2568 0.7456 0.7456  2 Ho 2.87, 2 Tb 2.89, 1 Ca 2.93
Se: 0.7432 0.2544 0.2544  2 Ho 2.87, 2 Tb 2.89, 1 Ca 2.93
Se: 0.7456 0.2568 0.7456  2 Ho 2.87, 2 Tb 2.89, 1 Ca 2.93
Se: 0.7456 0.7456 0.2568  2 Ho 2.87, 2 Tb 2.89, 1 Ca 2.93
Se: 0.7488 0.7488 0.7488  3 Ho 2.87, 3 Tb 2.89

Results
ρ: 7.1 Mg/m³
E_form (uncorrected): -1.855 eV per atom
M_tot: 0.00 μB/cell
calculated total energy: -5.69 eV/atom
SG: R-3m, No. 166